# Y3NiN2

A geometry-optimized Y3NiN2 structure (PBE-GGA, OQMD via LeMat-Bulk).

The structure in POSCAR format:
```
Y3NiN2
1.0
-1.671 0.597 3.002
-1.671 -1.529 -2.652
5.430 -17.067 6.420
N Ni Y
4 2 6
Direct
0.333 0.667 0.076
0.333 0.667 0.424
0.667 0.333 0.576
0.667 0.333 0.924
0.000 0.000 0.250
0.000 0.000 0.750
0.000 0.000 0.000
0.667 0.333 0.146
0.667 0.333 0.354
0.000 0.000 0.500
0.333 0.667 0.646
0.333 0.667 0.854
```

Computed properties:
M_tot   0.05 μB per formula unit
SG   P6_3/mmc (194)

# Y3FeB7

A geometry-optimized Y3FeB7 structure (PBE-GGA, OQMD via LeMat-Bulk).

The structure in POSCAR format:
```
Y3FeB7
1.0
-3.417 0.000 0.000
-1.709 7.852 0.000
0.000 0.000 -9.310
B Fe Y
14 2 6
Direct
0.272 0.455 0.033
0.478 0.044 0.099
0.370 0.259 0.153
0.540 0.920 0.250
0.370 0.259 0.347
0.478 0.044 0.401
0.272 0.455 0.467
0.728 0.545 0.533
0.522 0.956 0.599
0.630 0.741 0.653
0.460 0.080 0.750
0.630 0.741 0.847
0.522 0.956 0.901
0.728 0.545 0.967
0.946 0.108 0.250
0.054 0.892 0.750
0.105 0.790 0.060
0.757 0.485 0.250
0.105 0.790 0.440
0.895 0.210 0.560
0.243 0.515 0.750
0.895 0.210 0.940
```

Computed properties:
M_tot   0.31 μB per formula unit
SG   Cmcm (63)

# Cd5Pt

A geometry-optimized Cd5Pt structure (PBE-GGA, OQMD via LeMat-Bulk).

The structure in POSCAR format:
```
Cd5Pt
1.0
9.961 0.000 0.000
0.000 9.961 0.000
0.000 0.000 9.961
Cd Pt
40 8
Direct
0.239 0.000 0.000
0.761 0.000 0.000
0.000 0.239 0.000
0.000 0.761 0.000
0.297 0.297 0.050
0.703 0.703 0.050
0.500 0.500 0.142
0.530 0.169 0.169
0.831 0.470 0.169
0.169 0.530 0.169
0.470 0.831 0.169
0.000 0.000 0.239
0.297 0.050 0.297
0.050 0.297 0.297
0.950 0.703 0.297
0.703 0.950 0.297
0.619 0.381 0.381
0.381 0.619 0.381
0.831 0.169 0.470
0.169 0.831 0.470
0.500 0.142 0.500
0.142 0.500 0.500
0.858 0.500 0.500
0.500 0.858 0.500
0.169 0.169 0.530
0.831 0.831 0.530
0.381 0.381 0.619
0.619 0.619 0.619
0.703 0.050 0.703
0.950 0.297 0.703
0.050 0.703 0.703
0.297 0.950 0.703
0.000 0.000 0.761
0.470 0.169 0.831
0.169 0.470 0.831
0.831 0.530 0.831
0.530 0.831 0.831
0.500 0.500 0.858
0.703 0.297 0.950
0.297 0.703 0.950
0.806 0.194 0.194
0.194 0.806 0.194
0.334 0.334 0.334
0.666 0.666 0.334
0.666 0.334 0.666
0.334 0.666 0.666
0.194 0.194 0.806
0.806 0.806 0.806
```

Computed properties:
M_tot   0.00 μB per formula unit
SG   P-43m (215)

# InNiTeAuS2

A geometry-optimized InNiTeAuS2 structure (PBE-GGA, OQMD via LeMat-Bulk).

The structure in POSCAR format:
```
InNiTeAuS2
1.0
1.711 -7.327 0.000
1.711 7.327 0.000
0.000 0.000 10.398
Au In Ni S Te
2 2 2 4 2
Direct
0.642 0.358 0.250
0.358 0.642 0.750
0.294 0.706 0.250
0.706 0.294 0.750
0.000 0.000 0.000
0.000 0.000 0.500
0.604 0.396 0.017
0.604 0.396 0.483
0.396 0.604 0.517
0.396 0.604 0.983
0.967 0.033 0.250
0.033 0.967 0.750
```

Computed properties:
M_tot   0.00 μB per formula unit
SG   Cmcm (63)

# ZnCuHgSb

A geometry-optimized ZnCuHgSb structure (PBE-GGA, OQMD via LeMat-Bulk).

The structure in POSCAR format:
```
ZnCuHgSb
1.0
0.000 3.409 3.409
3.409 0.000 3.409
3.409 3.409 0.000
Cu Hg Sb Zn
1 1 1 1
Direct
0.750 0.750 0.750
0.500 0.500 0.500
0.000 0.000 0.000
0.250 0.250 0.250
```

Computed properties:
SG   F-43m (216)
Distance to the lowest polymorph of the same formula   0.000 eV/atom

# GdY2Mg3Al2Zn

A geometry-optimized GdY2Mg3Al2Zn structure (PBE-GGA, OQMD via LeMat-Bulk).

The structure in POSCAR format:
```
GdY2Mg3Al2Zn
1.0
-2.451 -2.846 -2.425
-2.114 -3.452 6.187
-3.959 5.659 -2.640
Al Gd Mg Y Zn
2 1 3 2 1
Direct
0.500 0.667 0.332
0.500 0.332 0.667
0.000 0.580 0.580
0.500 0.759 0.000
0.500 0.242 0.242
0.500 0.000 0.759
0.000 0.000 0.419
0.000 0.419 0.000
0.000 0.002 0.002
```

Computed properties:
M_tot   0.02 μB per formula unit
SG   Amm2 (38)

# NiBiAs

A geometry-optimized NiBiAs structure (PBE-GGA, OQMD via LeMat-Bulk).

The structure in POSCAR format:
```
NiBiAs
1.0
-3.454 -2.375 -1.473
-3.622 2.065 -1.535
-0.940 -0.096 -4.342
As Bi Ni
1 1 1
Direct
0.250 0.250 0.250
0.750 0.750 0.750
0.000 0.000 0.000
```

Computed properties:
M_tot   0.00 μB per formula unit
SG   F-43m (216)

# Cu2Ag3

A geometry-optimized Cu2Ag3 structure (PBE-GGA, OQMD via LeMat-Bulk).

The structure in POSCAR format:
```
Cu2Ag3
1.0
9.327 -1.433 0.000
9.327 1.433 0.000
-0.953 0.000 5.842
Ag Cu
6 4
Direct
0.206 0.206 0.111
0.403 0.403 0.208
0.590 0.590 0.267
0.004 0.004 0.531
0.193 0.193 0.596
0.805 0.805 0.882
0.806 0.806 0.418
0.401 0.401 0.693
0.599 0.599 0.822
0.993 0.993 0.972
```

Computed properties:
SG   Cm (8)
Distance to the lowest polymorph of the same formula   0.058 eV/atom

Calculated values (Mg/m³) of calculated density for the records, taken in order: 5.86, 5.29, 10.18, 7.16, 9.46, 4.15, 9.17, 9.58.
Calculated values (eV per atom) of energy for the records, taken in order: -8.036, -7.356, -1.944, -3.979, -2.098, -3.778, -4.772, -3.091.